Record 1
# La3TlBi

Crystalline La3TlBi at its relaxed geometry (PBE, Alexandria via LeMat-Bulk).

Calculated values
As for the electronic total energy: -4.732 eV/atom. The formation energy comes out at -50.7 kJ per mole of atoms. Its volume is 1420.2 Å³ per cell. The energy above the most stable polymorph in this dataset is 0.00 eV per formula unit.

Unit cell a=12.5462 b=12.2208 c=9.2627 alpha=90.00 beta=90.01 gamma=90.00
With the nearest neighbours (Å) after each atom.
Space group C2/c (No. 15)
One atom of each set of equivalent atoms:
La (0.0912, 0.0989, 0.4178)  2 Tl 3.34-3.35, 3 Bi 3.35-3.66, 1 La 3.66
La (0.0917, 0.4012, 0.5821)  2 Tl 3.34-3.36, 3 Bi 3.36-3.65, 1 La 3.67
La (0.2500, 0.1825, 0.8273)  2 Bi 3.23, 3 Tl 3.29-3.33, 1 La 3.60
Tl (0.2496, 0.0482, 0.1355)  7 La 3.29-3.36
Bi (0.0000, 0.1554, 0.7500)  6 La 3.23-3.57
Bi (0.0000, 0.3451, 0.2500)  6 La 3.23-3.57

***

Record 2
# CdSnTeI2

Crystalline CdSnTeI2 at its relaxed geometry (PBE, Alexandria via LeMat-Bulk).

Calculated values
As for the electronic total energy: -2.158 eV/atom. As for the uncorrected formation energy: 0.0743 eV/atom. Its volume is 209.1 Å³ per cell. The energy above the most stable polymorph in this dataset is 0.00 eV per formula unit.

Unit cell a=5.9584 b=5.9584 c=5.8896 alpha=90.00 beta=90.00 gamma=90.00
With the nearest neighbours (Å) after each atom.
Space group P4/mmm (No. 123)
One atom of each set of equivalent atoms:
Cd (0.0000, 0.0000, 0.0000)  8 I 4.19, 4 Te 4.21
Sn (0.5000, 0.5000, 0.5000)  2 Te 2.94, 4 I 2.98
Te (0.5000, 0.5000, 0.0000)  2 Sn 2.94
I (0.0000, 0.5000, 0.5000)  2 Sn 2.98

***

Record 3
# Ga2BiCl6

Crystalline Ga2BiCl6 at its relaxed geometry (PBE, Alexandria via LeMat-Bulk).

Calculated values
As for the electronic total energy: -3.142 eV/atom. As for the uncorrected formation energy: -0.8074 eV/atom. Its volume is 1392.3 Å³ per cell.

Unit cell a=13.4785 b=13.8278 c=8.2531 alpha=90.00 beta=115.16 gamma=90.00
With the nearest neighbours (Å) after each atom.
Space group C2/c (No. 15)
One atom of each set of equivalent atoms:
Ga (0.1704, 0.0938, 0.2342)  3 Cl 2.45-2.66
Bi (0.0000, 0.4206, 0.2500)  4 Cl 2.56-2.79
Cl (0.1122, 0.4179, 0.6223)  1 Ga 2.66, 1 Bi 2.79
Cl (0.1344, 0.2952, 0.2327)  1 Bi 2.56, 1 Ga 2.83
Cl (0.1421, 0.0020, 0.4643)  2 Ga 2.45-2.48

***

Record 4
# LiLuHfNi

Crystalline LiLuHfNi at its relaxed geometry (PBE, Alexandria via LeMat-Bulk).

Calculated values
As for the electronic total energy: -5.604 eV/atom. The formation energy comes out at -5.9 kJ per mole of atoms. Its volume is 289.6 Å³ per cell.

Unit cell a=6.6161 b=6.6161 c=6.6161 alpha=90.00 beta=90.00 gamma=90.00
With the nearest neighbours (Å) after each atom.
Space group F-43m (No. 216)
One atom of each set of equivalent atoms:
Li (0.0000, 0.0000, 0.0000)  4 Lu 2.86, 4 Hf 2.86
Lu (0.2500, 0.2500, 0.7500)  4 Li 2.86, 4 Ni 2.86
Hf (0.2500, 0.2500, 0.2500)  4 Li 2.86, 4 Ni 2.86
Ni (0.0000, 0.0000, 0.5000)  4 Hf 2.86, 4 Lu 2.86

***

What did the second record say?
# CdSnTeI2

Crystalline CdSnTeI2 at its relaxed geometry (PBE, Alexandria via LeMat-Bulk).

Calculated values
As for the electronic total energy: -2.158 eV/atom. As for the uncorrected formation energy: 0.0743 eV/atom. Its volume is 209.1 Å³ per cell. The energy above the most stable polymorph in this dataset is 0.00 eV per formula unit.

Unit cell a=5.9584 b=5.9584 c=5.8896 alpha=90.00 beta=90.00 gamma=90.00
With the nearest neighbours (Å) after each atom.
Space group P4/mmm (No. 123)
One atom of each set of equivalent atoms:
Cd (0.0000, 0.0000, 0.0000)  8 I 4.19, 4 Te 4.21
Sn (0.5000, 0.5000, 0.5000)  2 Te 2.94, 4 I 2.98
Te (0.5000, 0.5000, 0.0000)  2 Sn 2.94
I (0.0000, 0.5000, 0.5000)  2 Sn 2.98